# TlCr2Sb, optimized geometry, DFT PBE-GGA
data_TlCr2Sb
_chemical_formula_sum 'Tl1 Cr2 Sb1'
_symmetry_space_group_name_H-M 'P 1'
_symmetry_Int_Tables_number 1
_symmetry_space_group_name_Hall 'P 1'
_cell_length_a 4.7468
_cell_length_b 4.7484
_cell_length_c 3.7202
_cell_angle_alpha 90.00
_cell_angle_beta 90.00
_cell_angle_gamma 90.00
loop_
_atom_site_label
_atom_site_type_symbol
_atom_site_fract_x
_atom_site_fract_y
_atom_site_fract_z
Cr1 Cr 0.0000 0.0000 0.0000
Cr2 Cr 0.5000 0.5000 0.0000
Sb1 Sb 0.5000 0.0000 0.5000
Tl1 Tl 0.0000 0.5000 0.5000
# **Density**: 8.5 g/cm³
# **Electronic total energy**: -5.8999 eV/atom
# **Crystal system**: tetragonal
# **Volume**: 21.0 Å³ per atom
# **Formation energy (no corrections)**: 0.534 eV/atom